NpCuPd | PBE-GGA | relaxed

The calculation puts the energy of formation at 0.76 eV per formula unit.

abc: 6.2160 6.2160 6.2160
angles: 90.00 90.00 90.00
With the nearest neighbours (Å) after each atom.
Space group F-43m (No. 216)
Unique sites:
Np 0.0000 0.0000 0.0000 [4 per cell]  4 Cu 2.69
Cu 0.2500 0.2500 0.2500 [4 per cell]  4 Pd 2.69, 4 Np 2.69
Pd 0.0000 0.0000 0.5000 [4 per cell]  4 Cu 2.69